# CaPm2CrO6 | Alexandria | PBE with a Hubbard U | optimized geometry
data_CaPm2CrO6
_chemical_formula_sum 'Ca1 Pm2 Cr1 O6'
_cell_length_a 5.4424
_cell_length_b 5.4424
_cell_length_c 5.0691
_cell_angle_alpha 90.00
_cell_angle_beta 90.00
_cell_angle_gamma 90.00
_space_group_name_H-M_alt 'P 1'
_space_group_IT_number 1
loop_
_space_group_symop_operation_xyz
'x,y,z'
loop_
_atom_site_label
_atom_site_fract_x
_atom_site_fract_y
_atom_site_fract_z
Ca1 0.0000 0.0000 0.0000
Pm1 0.0000 0.5000 0.4286
Pm2 0.5000 0.0000 0.4286
Cr1 0.5000 0.5000 0.0394
O1 0.0000 0.0000 0.5661
O2 0.2680 0.2680 0.1694
O3 0.2680 0.7320 0.1694
O4 0.5000 0.5000 0.6823
O5 0.7320 0.2680 0.1694
O6 0.7320 0.7320 0.1694
# VASP energy: -7.469 eV per atom